CaZn2Cu | PBE | relaxed

Calculated values
Theoretical density, g/cm³: 4.719
Formation enthalpy at 0 K, eV/atom: -0.079
Magnetic moment, μB/f.u.: 0.0
DFT total energy, eV per atom: -2.24

a = 4.4252 Å, b = 3.5961 Å, c = 5.1835 Å
α = 90.21°, β = 90.00°, γ = 90.00°
Fractional coordinates of all 4 atoms:
1 Zn 0.0000 0.7488 0.9921
2 Zn 0.0000 0.7512 0.5079
3 Ca 0.5000 0.2500 0.2500
4 Cu 0.5000 0.7500 0.7500